Run w
Entry from the Alexandria database: an optimized crystal structure of HoEr3Ru2 (GGA-PBE).

Values from the calculation:
Space-group type = No. 26

abc: 4.2873 7.4555 8.7786
angles: 90.00 90.00 90.00
Atoms (fractional coordinates):
Er 0.0000 0.8523 0.6822
Er 0.5000 0.6478 0.1811
Ru 0.0000 0.2456 0.6347
Ru 0.0000 0.7456 0.3653
Ho 0.5000 0.5201 0.5839
Ru 0.5000 0.7543 0.8661
Ho 0.5000 0.0201 0.4161
Er 0.0000 0.9798 0.0839
Er 0.0000 0.3523 0.3178
Er 0.5000 0.1478 0.8189
Er 0.0000 0.4798 0.9161
Ru 0.5000 0.2543 0.1339



Run x
Entry from the Alexandria database: an optimized crystal structure of HoEr3Ru2 (GGA-PBE).

Values from the calculation:
Space-group type = No. 72

abc: 6.6654 6.9551 8.2517
angles: 114.93 113.82 90.00
Atoms (fractional coordinates):
Er 0.5000 0.2500 0.0000
Ho 0.0000 0.5000 0.0000
Er 0.7647 0.0147 0.5294
Ru 0.5861 0.3654 0.7307
Ru 0.4139 0.6346 0.2693
Er 0.2353 0.9853 0.4706
Ho 0.0000 0.0000 0.0000
Er 0.5000 0.7500 0.0000
Ru 0.1447 0.8654 0.7307
Ru 0.8553 0.1346 0.2693
Er 0.2353 0.4853 0.4706
Er 0.7647 0.5147 0.5294



The most stable arrangement is run w, and the next structure is 116 meV/atom less stable.



Run w
Entry from the Alexandria database: an optimized crystal structure of Ho2ErRu2 (GGA-PBE).

Values from the calculation:
Space-group type = No. 11

abc: 4.3900 5.4275 10.8184
angles: 112.13 90.00 90.00
Atoms (fractional coordinates):
Ho 0.7500 0.2274 0.1148
Er 0.2500 0.7943 0.2171
Er 0.7500 0.2057 0.7829
Ru 0.2500 0.9051 0.6529
Ru 0.7500 0.0949 0.3471
Ho 0.2500 0.7726 0.8852
Ho 0.2500 0.2797 0.5274
Ho 0.7500 0.7203 0.4726
Ru 0.7500 0.6822 0.0451
Ru 0.2500 0.3178 0.9549



Run x
Entry from the Alexandria database: an optimized crystal structure of Ho2ErRu2 (GGA-PBE).

Values from the calculation:
Space-group type = No. 65

abc: 3.3589 3.3809 10.2626
angles: 80.52 90.00 90.00
Atoms (fractional coordinates):
Ho 0.0000 0.1649 0.6701
Ru 0.5000 0.5876 0.8248
Ru 0.5000 0.4124 0.1752
Er 0.0000 0.0000 0.0000
Ho 0.0000 0.8351 0.3299



The most stable arrangement is run x, and the next structure is 103 meV/atom less stable.



Run w
Entry from the Alexandria database: an optimized crystal structure of HoEr3Ru3 (GGA-PBE).

Values from the calculation:
Space-group type = No. 160

abc: 5.7930 5.7854 5.7930
angles: 109.44 109.50 109.44
Atoms (fractional coordinates):
Ru 0.4999 0.0038 0.4999
Ho 0.0000 0.4176 0.0000
Er 0.4146 0.0035 0.0000
Er 0.0000 0.0035 0.4146
Er 0.5854 0.5889 0.5854
Ru 0.0000 0.5039 0.5001
Ru 0.5001 0.5039 0.0000



Run x
Entry from the Alexandria database: an optimized crystal structure of HoEr3Ru3 (GGA-PBE).

Values from the calculation:
Space-group type = No. 12

abc: 6.7702 6.7702 6.6906
angles: 90.05 90.05 90.22
Atoms (fractional coordinates):
Ru 0.5000 0.0000 0.7495
Ru 0.0000 0.5000 0.2505
Ru 0.0000 0.5000 0.7495
Er 0.7564 0.2436 0.0000
Er 0.2436 0.7564 0.0000
Ru 0.0000 0.0000 0.2504
Ru 0.0000 0.0000 0.7496
Ru 0.5000 0.0000 0.2505
Er 0.2455 0.7545 0.5000
Er 0.7545 0.2455 0.5000
Er 0.2453 0.2453 0.5006
Ho 0.7523 0.7523 0.9994
Ho 0.2477 0.2477 0.0006
Er 0.7547 0.7547 0.4994



The most stable arrangement is run w, and the next structure is 23 meV/atom less stable.



Run w
Entry from the Alexandria database: an optimized crystal structure of Ho2ErRu3 (GGA-PBE).

Values from the calculation:
Space-group type = No. 65

abc: 3.3897 4.7707 7.5488
angles: 108.42 90.00 90.00
Atoms (fractional coordinates):
Ru 0.5000 0.1662 0.3325
Ho 0.0000 0.6664 0.3328
Ho 0.0000 0.3336 0.6672
Er 0.0000 0.0000 0.0000
Ru 0.5000 0.8338 0.6675
Ru 0.5000 0.5000 0.0000



Run x
Entry from the Alexandria database: an optimized crystal structure of Ho2ErRu3 (GGA-PBE).

Values from the calculation:
Space-group type = No. 164

abc: 4.7766 4.7766 5.8581
angles: 90.00 90.00 120.00
Atoms (fractional coordinates):
Ru 0.0000 0.0000 0.5000
Er 0.0000 0.0000 0.0000
Ru 0.3333 0.6667 0.1660
Ho 0.3333 0.6667 0.6671
Ru 0.6667 0.3333 0.8340
Ho 0.6667 0.3333 0.3329



The most stable arrangement is run w, and the next structure is 6 meV/atom less stable.



Run w
Entry from the Alexandria database: an optimized crystal structure of HoErS (GGA-PBE).

Values from the calculation:
Space-group type = No. 12

abc: 3.7454 6.4921 7.2771
angles: 116.56 104.91 90.00
Atoms (fractional coordinates):
Ho 0.3831 0.7167 0.7662
Er 0.8826 0.2162 0.7653
S 0.7499 0.7508 0.4997
Ho 0.6169 0.2833 0.2338
S 0.2501 0.2492 0.5003
Er 0.1174 0.7838 0.2347



Run x
Entry from the Alexandria database: an optimized crystal structure of HoErS (GGA-PBE).

Values from the calculation:
Space-group type = No. 160

abc: 3.7505 3.7505 6.5347
angles: 73.32 73.32 60.00
Atoms (fractional coordinates):
Ho 0.6041 0.6041 0.1876
Er 0.1112 0.1112 0.6665
S 0.3582 0.3582 0.9253



Run y
Entry from the Alexandria database: an optimized crystal structure of HoErS (GGA-PBE).

Values from the calculation:
Space-group type = No. 107

abc: 3.4477 3.4477 6.4790
angles: 105.43 105.43 90.00
Atoms (fractional coordinates):
Ho 0.6919 0.6919 0.3838
S 0.3339 0.3339 0.6679
Er 0.9742 0.9742 0.9483



The most stable arrangement is run w, and the next structure is 8 meV/atom less stable.



Run w
Entry from the Alexandria database: an optimized crystal structure of HoErS3 (GGA-PBE).

Values from the calculation:
Space-group type = No. 12

abc: 4.0636 8.6933 8.1718
angles: 58.73 75.60 76.48
Atoms (fractional coordinates):
S 0.6452 0.5238 0.1858
Ho 0.3687 0.7919 0.4707
S 0.3548 0.4762 0.8142
Er 0.8527 0.2616 0.0330
S 0.2668 0.1552 0.3112
S 0.7332 0.8448 0.6888
Ho 0.6313 0.2081 0.5293
Er 0.1473 0.7384 0.9670
S 0.9555 0.8601 0.2289
S 0.0445 0.1399 0.7711



Run x
Entry from the Alexandria database: an optimized crystal structure of HoErS3 (GGA-PBE).

Values from the calculation:
Space-group type = No. 155

abc: 6.6267 6.6267 7.6648
angles: 64.39 64.39 60.00
Atoms (fractional coordinates):
S 0.5498 0.2483 0.2504
S 0.0484 0.7517 0.7496
S 0.7517 0.4502 0.7496
Ho 0.6528 0.6528 0.0415
Er 0.1536 0.1536 0.5393
Er 0.8464 0.8464 0.4607
S 0.2483 0.9516 0.2504
Ho 0.3472 0.3472 0.9585
S 0.4502 0.0484 0.7496
S 0.9516 0.5498 0.2504



The most stable arrangement is run w, and the next structure is 95 meV/atom less stable.